# Si2MoAsO (PBE+U, optimized geometry)
# DOS(E_F) = 3.10 states/eV/cell
# Space group = P4/mmm, No. 123
# Final energy = -20.42 eV per formula unit
data_Si2MoAsO
_chemical_formula_sum 'Si2 Mo1 As1 O1'
_space_group_name_H-M_alt 'P 1'
_space_group_IT_number 1
_space_group_name_Hall 'P 1'
_cell_length_a 4.7591
_cell_length_b 4.7591
_cell_length_c 5.1298
_cell_angle_alpha 90.00
_cell_angle_beta 90.00
_cell_angle_gamma 90.00
loop_
_atom_site_label
_atom_site_type_symbol
_atom_site_fract_x
_atom_site_fract_y
_atom_site_fract_z
Si1 Si 0.0000 0.5000 0.0000
Si2 Si 0.5000 0.0000 0.0000
Mo1 Mo 0.0000 0.0000 0.5000
As1 As 0.0000 0.0000 0.0000
O1 O 0.5000 0.5000 0.5000